A relaxed structure of ScPaCu. Source: OQMD via LeMat-Bulk, functional PBE-GGA. Values from VASP.

Properties
Distance to the lowest polymorph of the same formula = 0.00 eV/f.u.
Energy of formation from the pure elements = 418 meV per atom

The structure in Quantum ESPRESSO input format:
```
&SYSTEM
  ibrav = 0, nat = 3, ntyp = 3
/
ATOMIC_SPECIES
Sc 44.96 Sc.upf
Pa 231.04 Pa.upf
Cu 63.55 Cu.upf
CELL_PARAMETERS angstrom
0.0000 3.2472 3.2472
3.2472 0.0000 3.2472
3.2472 3.2472 0.0000
ATOMIC_POSITIONS crystal
Sc 0.0000 0.0000 0.0000
Pa 0.5000 0.5000 0.5000
Cu 0.7500 0.7500 0.7500
```

***

A relaxed structure of SrCuSbPd. Source: OQMD via LeMat-Bulk, functional PBE-GGA. Values from VASP.

Properties
Distance to the lowest polymorph of the same formula = 0.89 eV/f.u.

The structure in Quantum ESPRESSO input format:
```
&SYSTEM
  ibrav = 0, nat = 4, ntyp = 4
/
ATOMIC_SPECIES
Sr 87.62 Sr.upf
Cu 63.55 Cu.upf
Sb 121.76 Sb.upf
Pd 106.42 Pd.upf
CELL_PARAMETERS angstrom
0.0000 3.5349 3.5349
3.5349 0.0000 3.5349
3.5349 3.5349 0.0000
ATOMIC_POSITIONS crystal
Sr 0.0000 0.0000 0.0000
Cu 0.5000 0.5000 0.5000
Sb 0.2500 0.2500 0.2500
Pd 0.7500 0.7500 0.7500
```

***

A relaxed structure of Os. Source: OQMD via LeMat-Bulk, functional PBE-GGA. Values from VASP.

Properties
Distance to the lowest polymorph of the same formula = 0.10 eV/f.u.
Energy of formation from the pure elements = 101 meV per atom

The structure in Quantum ESPRESSO input format:
```
&SYSTEM
  ibrav = 0, nat = 4, ntyp = 1
/
ATOMIC_SPECIES
Os 190.23 Os.upf
CELL_PARAMETERS angstrom
2.7373 0.0000 0.0000
-1.3687 2.3706 0.0000
0.0000 0.0000 8.7992
ATOMIC_POSITIONS crystal
Os 0.0000 0.0000 0.0000
Os 0.0000 0.0000 0.5000
Os 0.3333 0.6667 0.2500
Os 0.6667 0.3333 0.7500
```

***

A relaxed structure of NaRePO. Source: OQMD via LeMat-Bulk, functional PBE-GGA. Values from VASP.

Properties
Distance to the lowest polymorph of the same formula = 1.01 eV/f.u.

The structure in Quantum ESPRESSO input format:
```
&SYSTEM
  ibrav = 0, nat = 8, ntyp = 4
/
ATOMIC_SPECIES
Na 22.99 Na.upf
Re 186.21 Re.upf
P 30.97 P.upf
O 16.00 O.upf
CELL_PARAMETERS angstrom
8.0778 0.0000 0.0000
0.0000 4.1922 0.0000
0.0000 0.0000 3.1699
ATOMIC_POSITIONS crystal
Na 0.0000 0.0000 0.0000
Na 0.5000 0.0000 0.0000
Re 0.2500 0.5000 0.0482
Re 0.7500 0.5000 0.9518
P 0.2500 0.0000 0.4790
P 0.7500 0.0000 0.5210
O 0.0000 0.5000 0.0000
O 0.5000 0.5000 0.0000
```

***

A relaxed structure of LuIn. Source: OQMD via LeMat-Bulk, functional PBE-GGA. Values from VASP.

Properties
Calculated total energy = -3.8643 eV/atom

The structure in Quantum ESPRESSO input format:
```
&SYSTEM
  ibrav = 0, nat = 2, ntyp = 2
/
ATOMIC_SPECIES
Lu 174.97 Lu.upf
In 114.82 In.upf
CELL_PARAMETERS angstrom
3.4722 0.0000 0.0000
-1.7361 3.0070 0.0000
0.0000 0.0000 5.0981
ATOMIC_POSITIONS crystal
Lu 0.0000 0.0000 0.0000
In 0.3333 0.6667 0.5000
```

***

A relaxed structure of YBiPdSe3. Source: OQMD via LeMat-Bulk, functional PBE-GGA. Values from VASP.

Properties
Calculated total energy = -5.2784 eV/atom

The structure in Quantum ESPRESSO input format:
```
&SYSTEM
  ibrav = 0, nat = 24, ntyp = 4
/
ATOMIC_SPECIES
Y 88.91 Y.upf
Bi 208.98 Bi.upf
Pd 106.42 Pd.upf
Se 78.96 Se.upf
CELL_PARAMETERS angstrom
10.7702 0.0000 0.0000
0.0000 3.9968 0.0000
0.0000 0.0000 13.9664
ATOMIC_POSITIONS crystal
Y 0.0167 0.2500 0.2450
Y 0.4833 0.7500 0.7450
Y 0.5167 0.2500 0.2550
Y 0.9833 0.7500 0.7550
Bi 0.2301 0.7500 0.5556
Bi 0.2699 0.2500 0.0556
Bi 0.7301 0.7500 0.9444
Bi 0.7699 0.2500 0.4444
Pd 0.2355 0.2500 0.6983
Pd 0.2645 0.7500 0.1983
Pd 0.7355 0.2500 0.8017
Pd 0.7645 0.7500 0.3017
Se 0.0222 0.2500 0.6091
Se 0.0618 0.7500 0.0971
Se 0.2350 0.7500 0.8249
Se 0.2650 0.2500 0.3249
Se 0.4382 0.2500 0.5971
Se 0.4778 0.7500 0.1091
Se 0.5222 0.2500 0.8909
Se 0.5618 0.7500 0.4029
Se 0.7350 0.7500 0.6751
Se 0.7650 0.2500 0.1751
Se 0.9382 0.2500 0.9029
Se 0.9778 0.7500 0.3909
```

***

A relaxed structure of Pr3P2S. Source: OQMD via LeMat-Bulk, functional PBE-GGA. Values from VASP.

Properties
Distance to the lowest polymorph of the same formula = 0.00 eV/f.u.

The structure in Quantum ESPRESSO input format:
```
&SYSTEM
  ibrav = 0, nat = 6, ntyp = 3
/
ATOMIC_SPECIES
Pr 140.91 Pr.upf
P 30.97 P.upf
S 32.06 S.upf
CELL_PARAMETERS angstrom
-2.0877 2.9467 6.2563
2.0877 -2.9467 6.2563
2.0877 2.9467 -6.2563
ATOMIC_POSITIONS crystal
Pr 0.0000 0.0000 0.0000
Pr 0.3300 0.3300 0.0000
Pr 0.6700 0.6700 0.0000
P 0.1664 0.6664 0.5000
P 0.8336 0.3336 0.5000
S 0.5000 0.0000 0.5000
```

***

A relaxed structure of Sm2TmN3. Source: OQMD via LeMat-Bulk, functional PBE-GGA. Values from VASP.

Properties
Calculated total energy = -8.0564 eV/atom

The structure in Quantum ESPRESSO input format:
```
&SYSTEM
  ibrav = 0, nat = 6, ntyp = 3
/
ATOMIC_SPECIES
Sm 150.36 Sm.upf
Tm 168.93 Tm.upf
N 14.01 N.upf
CELL_PARAMETERS angstrom
3.5077 0.0000 0.0000
-1.7539 3.0378 0.0000
0.0000 0.0000 8.5880
ATOMIC_POSITIONS crystal
Sm 0.3333 0.6667 0.3287
Sm 0.6667 0.3333 0.6713
Tm 0.0000 0.0000 0.0000
N 0.0000 0.0000 0.5000
N 0.3333 0.6667 0.8432
N 0.6667 0.3333 0.1568
```